[1]
Density functional theory data (PBEsol) for crystalline RbH2Au at its relaxed geometry.

Output
Mass density   7.127 g/cm³
Spin magnetization   0.000 μB per cell
Electronic total energy   -3.03 eV per atom
SG   I-42d
Crystal system   tetragonal

Unit cell a=5.7014 b=5.7014 c=5.7014 alpha=88.64 beta=60.78 gamma=119.22
With the nearest neighbours (Å) after each atom.
Element x y z (fractional)
H: 0.8178 0.1928 0.1250  2 Au 1.80
H: 0.1822 0.0572 0.6250  2 Au 1.80
H: 0.6822 0.6250 0.1928  2 Au 1.80
H: 0.3178 0.1250 0.0572  2 Au 1.80
Au: 0.0000 0.0000 0.0000  4 H 1.80
Au: 0.5000 0.2500 0.2500  4 H 1.80
Rb: 0.0000 0.5000 0.5000  8 H 3.05-3.34
Rb: 0.5000 0.7500 0.7500  8 H 3.05-3.34

---

[2]
Density functional theory data (PBEsol) for crystalline Rb2HAu at its relaxed geometry.

Output
Mass density   4.598 g/cm³
Spin magnetization   0.000 μB per cell
Electronic total energy   -2.36 eV per atom
SG   I-42d
Crystal system   tetragonal

Unit cell a=7.0234 b=7.0234 c=7.0234 alpha=107.42 beta=110.50 gamma=110.50
With the nearest neighbours (Å) after each atom.
Element x y z (fractional)
H: 0.0000 0.5000 0.5000  4 Rb 2.71
H: 0.5000 0.2500 0.7500  4 Rb 2.71
Au: 0.0000 0.0000 0.0000  4 Rb 3.37
Au: 0.5000 0.7500 0.2500  4 Rb 3.37
Rb: 0.0620 0.8750 0.4370  2 H 2.71
Rb: 0.9380 0.3750 0.8130  2 H 2.71
Rb: 0.4380 0.5630 0.6250  2 H 2.71
Rb: 0.5620 0.1870 0.1250  2 H 2.71

---

[3]
Density functional theory data (PBEsol) for crystalline Rb3HAu at its relaxed geometry.

Output
Mass density   4.536 g/cm³
Spin magnetization   0.002 μB per cell
Electronic total energy   -2.10 eV per atom
SG   Pm-3m
Crystal system   cubic

Unit cell a=5.4995 b=5.4995 c=5.4995 alpha=90.00 beta=90.00 gamma=90.00
With the nearest neighbours (Å) after each atom.
Element x y z (fractional)
H: 0.0000 0.0000 0.0000  6 Rb 2.75
Au: 0.5000 0.5000 0.5000  12 Rb 3.89
Rb: 0.0000 0.5000 0.0000  2 H 2.75
Rb: 0.0000 0.0000 0.5000  2 H 2.75
Rb: 0.5000 0.0000 0.0000  2 H 2.75

---

[4]
Density functional theory data (PBEsol) for crystalline ReH3Au at its relaxed geometry.

Output
Mass density   14.893 g/cm³
Spin magnetization   0.633 μB per cell
Electronic total energy   -4.28 eV per atom
SG   Pm-3m
Crystal system   cubic

Unit cell a=3.5050 b=3.5050 c=3.5050 alpha=90.00 beta=90.00 gamma=90.00
With the nearest neighbours (Å) after each atom.
Element x y z (fractional)
Re: 0.5000 0.5000 0.5000  12 H 2.48
Au: 0.0000 0.0000 0.0000  6 H 1.75
H: 0.0000 0.5000 0.0000  2 Au 1.75
H: 0.0000 0.0000 0.5000  2 Au 1.75
H: 0.5000 0.0000 0.0000  2 Au 1.75

---

[5]
Density functional theory data (PBEsol) for crystalline Re3HAu at its relaxed geometry.

Output
Mass density   20.472 g/cm³
Spin magnetization   0.000 μB per cell
Electronic total energy   -9.07 eV per atom
SG   Pm-3m
Crystal system   cubic

Unit cell a=3.9444 b=3.9444 c=3.9444 alpha=90.00 beta=90.00 gamma=90.00
With the nearest neighbours (Å) after each atom.
Element x y z (fractional)
Re: 0.0000 0.5000 0.0000  2 H 1.97
Re: 0.0000 0.0000 0.5000  2 H 1.97
Re: 0.5000 0.0000 0.0000  2 H 1.97
Au: 0.5000 0.5000 0.5000  12 Re 2.79
H: 0.0000 0.0000 0.0000  6 Re 1.97

---

[6]
Density functional theory data (PBEsol) for crystalline H2Rh2Au at its relaxed geometry.

Output
Mass density   13.436 g/cm³
Spin magnetization   0.004 μB per cell
Electronic total energy   -5.32 eV per atom
SG   I4/mmm
Crystal system   tetragonal

Unit cell a=3.0799 b=3.0799 c=5.7060 alpha=105.66 beta=105.66 gamma=90.00
With the nearest neighbours (Å) after each atom.
Element x y z (fractional)
Au: 0.0000 0.0000 0.0000  8 Rh 2.74, 8 H 3.05
Rh: 0.3418 0.3418 0.6837  4 H 1.82
Rh: 0.6582 0.6582 0.3163  4 H 1.82
H: 0.2500 0.7500 0.5000  4 Rh 1.82
H: 0.7500 0.2500 0.5000  4 Rh 1.82

---

[7]
Density functional theory data (PBEsol) for crystalline HRuAu3 at its relaxed geometry.

Output
Mass density   17.027 g/cm³
Spin magnetization   0.000 μB per cell
Electronic total energy   -4.47 eV per atom
SG   Pm-3m
Crystal system   cubic

Unit cell a=4.0733 b=4.0733 c=4.0733 alpha=90.00 beta=90.00 gamma=90.00
With the nearest neighbours (Å) after each atom.
Element x y z (fractional)
Ru: 0.5000 0.5000 0.5000  12 Au 2.88
Au: 0.0000 0.5000 0.0000  2 H 2.04
Au: 0.0000 0.0000 0.5000  2 H 2.04
Au: 0.5000 0.0000 0.0000  2 H 2.04
H: 0.0000 0.0000 0.0000  6 Au 2.04

---

[8]
Density functional theory data (PBEsol) for crystalline HRuAu2 at its relaxed geometry.

Output
Mass density   14.590 g/cm³
Spin magnetization   1.057 μB per cell
Electronic total energy   -4.32 eV per atom
SG   Fm-3m
Crystal system   cubic

Unit cell a=4.3060 b=4.3060 c=4.3060 alpha=60.00 beta=60.00 gamma=60.00
With the nearest neighbours (Å) after each atom.
Element x y z (fractional)
Ru: 0.5000 0.5000 0.5000  8 Au 2.64
Au: 0.2500 0.2500 0.2500  4 H 2.64, 4 Ru 2.64
Au: 0.7500 0.7500 0.7500  4 Ru 2.64, 4 H 2.64
H: 0.0000 0.0000 0.0000  8 Au 2.64

---

[9]
Density functional theory data (PBEsol) for crystalline Ta2HRuAu at its relaxed geometry.

Output
Mass density   16.728 g/cm³
Spin magnetization   0.000 μB per cell
Electronic total energy   -8.68 eV per atom
SG   P4/mmm
Crystal system   tetragonal

Unit cell a=4.0221 b=4.0389 c=4.0389 alpha=90.00 beta=90.00 gamma=90.00
With the nearest neighbours (Å) after each atom.
Element x y z (fractional)
Ru: 0.5000 0.0000 0.0000  2 H 2.01
Ta: 0.0000 0.0000 0.5000  2 H 2.02
Ta: 0.0000 0.5000 0.0000  2 H 2.02
Au: 0.5000 0.5000 0.5000  8 Ta 2.85, 4 Ru 2.86
H: 0.0000 0.0000 0.0000  2 Ru 2.01, 4 Ta 2.02

---

[10]
Density functional theory data (PBEsol) for crystalline HAuS3 at its relaxed geometry.

Output
Mass density   7.252 g/cm³
Spin magnetization   0.000 μB per cell
Electronic total energy   -3.08 eV per atom
SG   Pm-3m
Crystal system   cubic

Unit cell a=4.0688 b=4.0688 c=4.0688 alpha=90.00 beta=90.00 gamma=90.00
With the nearest neighbours (Å) after each atom.
Element x y z (fractional)
H: 0.0000 0.0000 0.0000  6 S 2.03
S: 0.0000 0.5000 0.0000  2 H 2.03
S: 0.0000 0.0000 0.5000  2 H 2.03
S: 0.5000 0.0000 0.0000  2 H 2.03
Au: 0.5000 0.5000 0.5000  12 S 2.88

---

[11]
Density functional theory data (PBEsol) for crystalline HAu2Se at its relaxed geometry.

Output
Mass density   12.870 g/cm³
Spin magnetization   0.001 μB per cell
Electronic total energy   -3.06 eV per atom
SG   Fm-3m
Crystal system   cubic

Unit cell a=4.4220 b=4.4220 c=4.4220 alpha=60.00 beta=60.00 gamma=60.00
With the nearest neighbours (Å) after each atom.
Element x y z (fractional)
H: 0.0000 0.0000 0.0000  8 Au 2.71
Au: 0.2500 0.2500 0.2500  4 H 2.71, 4 Se 2.71
Au: 0.7500 0.7500 0.7500  4 H 2.71, 4 Se 2.71
Se: 0.5000 0.5000 0.5000  8 Au 2.71

---

[12]
Density functional theory data (PBEsol) for crystalline SiH2Au at its relaxed geometry.

Output
Mass density   9.463 g/cm³
Spin magnetization   0.000 μB per cell
Electronic total energy   -3.30 eV per atom
SG   Fm-3m
Crystal system   cubic

Unit cell a=3.8339 b=3.8339 c=3.8339 alpha=60.00 beta=60.00 gamma=60.00
With the nearest neighbours (Å) after each atom.
Element x y z (fractional)
H: 0.2500 0.2500 0.2500  4 Au 2.35, 4 Si 2.35
H: 0.7500 0.7500 0.7500  4 Si 2.35, 4 Au 2.35
Si: 0.0000 0.0000 0.0000  8 H 2.35
Au: 0.5000 0.5000 0.5000  8 H 2.35

---

[13]
Density functional theory data (PBEsol) for crystalline SnH2Au2 at its relaxed geometry.

Output
Mass density   12.762 g/cm³
Spin magnetization   0.000 μB per cell
Electronic total energy   -3.43 eV per atom
SG   I4/mmm
Crystal system   tetragonal

Unit cell a=3.8961 b=3.8961 c=5.2012 alpha=112.00 beta=112.00 gamma=90.00
With the nearest neighbours (Å) after each atom.
Element x y z (fractional)
H: 0.2500 0.7500 0.5000  4 Au 2.10
H: 0.7500 0.2500 0.5000  4 Au 2.10
Au: 0.3392 0.3392 0.6784  4 H 2.10
Au: 0.6608 0.6608 0.3216  4 H 2.10
Sn: 0.0000 0.0000 0.0000  8 H 2.94, 10 Au 2.99-3.10

---

[14]
Density functional theory data (PBEsol) for crystalline SrHAu3 at its relaxed geometry.

Output
Mass density   12.933 g/cm³
Spin magnetization   0.000 μB per cell
Electronic total energy   -3.47 eV per atom
SG   Pm-3m
Crystal system   cubic

Unit cell a=4.4353 b=4.4353 c=4.4353 alpha=90.00 beta=90.00 gamma=90.00
With the nearest neighbours (Å) after each atom.
Element x y z (fractional)
Sr: 0.5000 0.5000 0.5000  12 Au 3.14
Au: 0.0000 0.5000 0.0000  2 H 2.22
Au: 0.0000 0.0000 0.5000  2 H 2.22
Au: 0.5000 0.0000 0.0000  2 H 2.22
H: 0.0000 0.0000 0.0000  6 Au 2.22